Record 1
! Tb2Tm7In3 (PBE-GGA, relaxed); values from VASP
! * DOS(E_F): 16.4 states/eV per cell
! * total magnetic moment: 0.00 Bohr magnetons per cell
! * energy of formation from the pure elements: -0.11 eV per atom
&SYSTEM
  ibrav = 0, nat = 12, ntyp = 3
/
ATOMIC_SPECIES
Tm 168.93 Tm.upf
In 114.82 In.upf
Tb 158.93 Tb.upf
CELL_PARAMETERS angstrom
-1.6574 -2.9748 -1.2623
3.6155 -0.2870 -4.0708
8.5914 -9.8690 11.9774
ATOMIC_POSITIONS angstrom
Tm 6.5206 -4.6812 2.4704
Tm 5.6862 -5.4748 5.4363
Tm 0.0000 0.0000 0.0000
Tm 3.3142 -1.5940 -0.5951
Tm 8.8926 -8.5620 8.5017
Tm 9.5167 -9.8511 5.4958
Tm 1.0328 -3.2797 1.1486
In 0.9790 -1.6309 -2.6665
In 6.4903 -8.5343 6.3661
In 4.0592 -4.5965 0.2782
Tb 8.6052 -6.6883 4.4633
Tb 3.6017 -3.4678 3.4434



Record 2
! Tb3TmIn3 (PBE-GGA, relaxed); values from VASP
! * DOS(E_F): 35.1 states/eV per cell
! * total magnetic moment: 0.00 Bohr magnetons per cell
! * energy of formation from the pure elements: -0.31 eV per atom
&SYSTEM
  ibrav = 0, nat = 28, ntyp = 3
/
ATOMIC_SPECIES
In 114.82 In.upf
Tb 158.93 Tb.upf
Tm 168.93 Tm.upf
CELL_PARAMETERS angstrom
-6.7946 -5.8028 -2.6256
6.3692 -6.1938 -2.7936
-0.0056 -3.8338 8.4874
ATOMIC_POSITIONS angstrom
In -1.1406 -12.0991 4.7300
In 1.3569 -8.9251 -0.2282
In 1.6080 -4.9400 6.6816
In 2.0841 -12.7204 1.9776
In -2.6905 -8.5322 1.2306
In -1.8571 -4.9184 -0.9158
In 3.8175 -6.8937 -3.0882
In 2.3286 -4.7900 0.3350
In -0.8484 -4.1358 3.2640
In -1.9699 -12.8772 0.5987
In -5.9125 -6.0547 -0.1264
In 0.6378 -8.0957 3.9502
Tb -3.4295 -5.3892 1.9582
Tb -0.2903 -10.6610 2.0663
Tb -0.4009 -14.7232 2.8536
Tb 0.7076 -6.2938 -2.1277
Tb -1.3003 -10.2121 -1.2986
Tb 3.0428 -9.5787 2.5793
Tb -1.1187 -6.1381 5.6733
Tb 4.0841 -7.3779 0.0071
Tb -0.0757 -2.7798 0.5388
Tb 2.2607 -5.2546 3.4523
Tb -3.5372 -7.4839 -1.6103
Tb -2.5289 -9.0902 4.3169
Tm 1.9371 -9.3657 -3.4263
Tm -5.7635 -8.0517 2.2718
Tm 3.1460 -7.5721 5.9979
Tm -0.1816 -6.6713 1.2930



Record 3
! Tb4TmIn4 (PBE-GGA, relaxed); values from VASP
! * DOS(E_F): 14.2 states/eV per cell
! * total magnetic moment: 0.00 Bohr magnetons per cell
! * energy of formation from the pure elements: -0.27 eV per atom
&SYSTEM
  ibrav = 0, nat = 18, ntyp = 3
/
ATOMIC_SPECIES
Tb 158.93 Tb.upf
In 114.82 In.upf
Tm 168.93 Tm.upf
CELL_PARAMETERS angstrom
-3.7989 4.2536 1.9168
0.8518 -3.1087 8.5867
7.0610 5.6931 1.3607
ATOMIC_POSITIONS angstrom
Tb -2.5370 3.0996 4.6501
Tb 2.6834 -0.4563 8.6595
Tb 4.2925 4.0897 1.7606
Tb 4.8254 5.0224 5.5322
Tb 0.7949 4.5730 3.1988
Tb 0.2253 0.7666 5.8593
Tb 2.3820 3.3140 9.1381
Tb 3.7887 6.9430 8.6582
In 1.9395 6.5389 6.0900
In 4.4105 1.7093 7.0767
In 5.5591 4.2941 8.8028
In -0.1220 0.9700 9.1767
In 2.6459 1.8339 3.3028
In -0.7683 3.5938 7.2589
In -0.5890 1.5851 2.6293
In 3.3795 6.8268 3.1196
Tm 0.0000 0.0000 0.0000
Tm 2.0569 3.4190 5.9321



Question: Which value of energy of formation from the pure elements does entry 3 give?
Answer: -0.27 eV per atom



Question: Which value of energy of formation from the pure elements does entry 3 give?
Answer: -0.27 eV per atom



Question: energy of formation from the pure elements of number 2 (Tb3TmIn3)?
Answer: -0.31 eV per atom